No. 1
# ReRhSe2 (PBE, optimized geometry)
# - DFT total energy (eV/atom) = -6.648
# - energy relative to the elements, uncorrected (eV per atom) = 0.044
# - energy above the most stable polymorph in this dataset (meV per atom) = 13
# - N(E_F) (states/eV per atom) = 0.49
# - M_tot (Bohr magnetons per cell) = 0.000
data_ReRhSe2
_symmetry_space_group_name_H-M 'P 1'
_symmetry_Int_Tables_number 1
_cell_length_a 2.923
_cell_length_b 2.923
_cell_length_c 8.702
_cell_angle_alpha 90.00
_cell_angle_beta 90.00
_cell_angle_gamma 90.00
loop_
_symmetry_equiv_pos_as_xyz
'x,y,z'
loop_
_atom_site_label
_atom_site_type_symbol
_atom_site_fract_x
_atom_site_fract_y
_atom_site_fract_z
_atom_site_occupancy
Se1 Se 0.500 0.500 0.334 1
Se2 Se 0.000 0.000 0.932 1
Re1 Re 0.000 0.000 0.513 1
Rh1 Rh 0.500 0.500 0.721 1

No. 2
# Pr3Sm2Dy (PBE, optimized geometry)
# - DFT total energy (eV/atom) = -4.679
# - energy above the most stable polymorph in this dataset (meV per atom) = 0
# - N(E_F) (states/eV per atom) = 1.49
# - E_form (eV per atom) = 0.05
# - M_tot (Bohr magnetons per cell) = 0.000
data_Pr3Sm2Dy
_symmetry_space_group_name_H-M 'P 1'
_symmetry_Int_Tables_number 1
_cell_length_a 3.744
_cell_length_b 8.602
_cell_length_c 13.028
_cell_angle_alpha 90.01
_cell_angle_beta 90.00
_cell_angle_gamma 90.00
loop_
_symmetry_equiv_pos_as_xyz
'x,y,z'
loop_
_atom_site_label
_atom_site_type_symbol
_atom_site_fract_x
_atom_site_fract_y
_atom_site_fract_z
_atom_site_occupancy
Pr1 Pr 0.250 0.395 0.748 1
Pr2 Pr 0.250 0.346 0.055 1
Pr3 Pr 0.250 0.913 0.390 1
Pr4 Pr 0.750 0.654 0.945 1
Pr5 Pr 0.750 0.605 0.252 1
Pr6 Pr 0.750 0.087 0.610 1
Sm1 Sm 0.750 0.083 0.891 1
Sm2 Sm 0.750 0.649 0.552 1
Sm3 Sm 0.250 0.351 0.448 1
Sm4 Sm 0.250 0.917 0.109 1
Dy1 Dy 0.250 0.809 0.748 1
Dy2 Dy 0.750 0.191 0.252 1

No. 3
# Cs4AcU3Se8 (PBE, optimized geometry)
# - DFT total energy (eV/atom) = -5.657
# - energy relative to the elements, uncorrected (eV per atom) = -1.328
# - N(E_F) (states/eV per atom) = 1.32
# - M_tot (Bohr magnetons per cell) = 9.007
data_Cs4AcU3Se8
_symmetry_space_group_name_H-M 'P 1'
_symmetry_Int_Tables_number 1
_cell_length_a 8.760
_cell_length_b 9.839
_cell_length_c 8.760
_cell_angle_alpha 116.46
_cell_angle_beta 120.00
_cell_angle_gamma 90.00
loop_
_symmetry_equiv_pos_as_xyz
'x,y,z'
loop_
_atom_site_label
_atom_site_type_symbol
_atom_site_fract_x
_atom_site_fract_y
_atom_site_fract_z
_atom_site_occupancy
U1 U 0.500 0.500 0.000 1
U2 U 0.000 0.500 0.500 1
U3 U 0.500 0.500 0.500 1
Se1 Se 0.762 0.309 0.047 1
Se2 Se 0.715 0.691 0.953 1
Se3 Se 0.285 0.309 0.047 1
Se4 Se 0.238 0.691 0.953 1
Se5 Se 0.238 0.691 0.477 1
Se6 Se 0.272 0.316 0.544 1
Se7 Se 0.762 0.309 0.523 1
Se8 Se 0.728 0.684 0.456 1
Cs1 Cs 0.500 0.000 0.000 1
Cs2 Cs 0.000 0.000 0.500 1
Cs3 Cs 0.000 0.000 0.000 1
Cs4 Cs 0.500 0.000 0.500 1
Ac1 Ac 0.000 0.500 0.000 1

- Which of these has the highest DFT total energy?
  Pr3Sm2Dy

Repeat the first record exactly.
# ReRhSe2 (PBE, optimized geometry)
# - DFT total energy (eV/atom) = -6.648
# - energy relative to the elements, uncorrected (eV per atom) = 0.044
# - energy above the most stable polymorph in this dataset (meV per atom) = 13
# - N(E_F) (states/eV per atom) = 0.49
# - M_tot (Bohr magnetons per cell) = 0.000
data_ReRhSe2
_symmetry_space_group_name_H-M 'P 1'
_symmetry_Int_Tables_number 1
_cell_length_a 2.923
_cell_length_b 2.923
_cell_length_c 8.702
_cell_angle_alpha 90.00
_cell_angle_beta 90.00
_cell_angle_gamma 90.00
loop_
_symmetry_equiv_pos_as_xyz
'x,y,z'
loop_
_atom_site_label
_atom_site_type_symbol
_atom_site_fract_x
_atom_site_fract_y
_atom_site_fract_z
_atom_site_occupancy
Se1 Se 0.500 0.500 0.334 1
Se2 Se 0.000 0.000 0.932 1
Re1 Re 0.000 0.000 0.513 1
Rh1 Rh 0.500 0.500 0.721 1

- Which of these has the highest N(E_F)?
  Pr3Sm2Dy